# Ga2RuCl

Crystalline Ga2RuCl at its relaxed geometry (GGA-PBE, Alexandria).

Geometry as CIF:
```
data_Ga2RuCl
_chemical_formula_sum 'Ga8 Ru4 Cl4'
_space_group_name_H-M_alt 'F m -3 m'
_space_group_IT_number 225
_space_group_name_Hall '-F 4 2 3'
_cell_length_a 6.5907
_cell_length_b 6.5907
_cell_length_c 6.5907
_cell_angle_alpha 90.00
_cell_angle_beta 90.00
_cell_angle_gamma 90.00
loop_
_atom_site_label
_atom_site_type_symbol
_atom_site_fract_x
_atom_site_fract_y
_atom_site_fract_z
_atom_site_occupancy
Ga1 Ga 0.2500 0.2500 0.2500 1
Ru1 Ru 0.0000 0.0000 0.0000 1
Cl1 Cl 0.0000 0.0000 0.5000 1
```

## Properties
magnetic moment: 5.32 Bohr magnetons per cell
energy: -3.760 eV/atom
DOS(E_F): 19.2 states/eV/cell
uncorrected formation energy: 534 meV/atom



# Pm4NiHg

Crystalline Pm4NiHg at its relaxed geometry (GGA-PBE, Alexandria).

Geometry as CIF:
```
data_Pm4NiHg
_chemical_formula_sum 'Pm16 Ni4 Hg4'
_space_group_name_H-M_alt 'C 1 2/c 1'
_space_group_IT_number 15
_cell_length_a 8.9271
_cell_length_b 13.9426
_cell_length_c 6.1500
_cell_angle_alpha 90.00
_cell_angle_beta 116.49
_cell_angle_gamma 90.00
loop_
_space_group_symop_operation_xyz
'x,y,z'
'-x,-y,-z'
'-x,y,-z+1/2'
'x,-y,z+1/2'
'x+1/2,y+1/2,z'
'-x+1/2,-y+1/2,-z'
'-x+1/2,y+1/2,-z+1/2'
'x+1/2,-y+1/2,z+1/2'
loop_
_atom_site_label
_atom_site_type_symbol
_atom_site_fract_x
_atom_site_fract_y
_atom_site_fract_z
_atom_site_occupancy
Pm1 Pm 0.1173 0.1855 0.0811 1
Pm2 Pm 0.2314 0.4310 0.3342 1
Ni1 Ni 0.0000 0.0027 0.2500 1
Hg1 Hg 0.0000 0.3799 0.7500 1
```

## Properties
magnetic moment: 0.00 Bohr magnetons per cell
DFT formation energy: -227.1 meV/atom
energy: -4.408 eV/atom
DOS(E_F): 24.8 states/eV/cell



# TiZnCu2

Crystalline TiZnCu2 at its relaxed geometry (GGA-PBE, Alexandria).

Geometry as CIF:
```
data_TiZnCu2
_chemical_formula_sum 'Ti2 Zn2 Cu4'
_space_group_name_H-M_alt 'C 1 m 1'
_space_group_IT_number 8
_cell_length_a 4.7998
_cell_length_b 2.6357
_cell_length_c 8.9395
_cell_angle_alpha 90.00
_cell_angle_beta 101.78
_cell_angle_gamma 90.00
loop_
_space_group_symop_operation_xyz
'x,y,z'
'x,-y,z'
'x+1/2,y+1/2,z'
'x+1/2,-y+1/2,z'
loop_
_atom_site_label
_atom_site_type_symbol
_atom_site_fract_x
_atom_site_fract_y
_atom_site_fract_z
_atom_site_occupancy
Ti1 Ti 0.0000 0.0000 0.0000 1
Zn1 Zn 0.1757 0.0000 0.5004 1
Cu1 Cu 0.0925 0.5000 0.7435 1
Cu2 Cu 0.4066 0.0000 0.2568 1
```

## Properties
magnetic moment: 0.00 Bohr magnetons per cell
DFT formation energy: 7.3 meV/atom
energy: -4.333 eV/atom
DOS(E_F): 4.4 states/eV/cell



# RbHfPtSe2

Crystalline RbHfPtSe2 at its relaxed geometry (GGA-PBE, Alexandria).

Geometry as CIF:
```
data_RbHfPtSe2
_chemical_formula_sum 'Rb1 Hf1 Pt1 Se2'
_space_group_name_H-M_alt 'P 4/m m m'
_space_group_IT_number 123
_space_group_name_Hall '-P 4 2'
_cell_length_a 5.1028
_cell_length_b 5.1028
_cell_length_c 5.4140
_cell_angle_alpha 90.00
_cell_angle_beta 90.00
_cell_angle_gamma 90.00
loop_
_atom_site_label
_atom_site_type_symbol
_atom_site_fract_x
_atom_site_fract_y
_atom_site_fract_z
_atom_site_occupancy
Rb1 Rb 0.0000 0.0000 0.0000 1
Hf1 Hf 0.5000 0.5000 0.0000 1
Pt1 Pt 0.0000 0.0000 0.5000 1
Se1 Se 0.0000 0.5000 0.5000 1
```

## Properties
magnetic moment: 1.58 Bohr magnetons per cell
energy: -4.091 eV/atom
DOS(E_F): 2.9 states/eV/cell
uncorrected formation energy: 696 meV/atom



# RbTmTe2

Crystalline RbTmTe2 at its relaxed geometry (GGA-PBE, Alexandria).

Geometry as CIF:
```
data_RbTmTe2
_chemical_formula_sum 'Rb3 Tm3 Te6'
_space_group_name_H-M_alt 'R 3 m'
_space_group_IT_number 160
_space_group_name_Hall 'R 3 -2"'
_cell_length_a 4.4667
_cell_length_b 4.4667
_cell_length_c 25.9163
_cell_angle_alpha 90.00
_cell_angle_beta 90.00
_cell_angle_gamma 120.00
loop_
_atom_site_label
_atom_site_type_symbol
_atom_site_fract_x
_atom_site_fract_y
_atom_site_fract_z
_atom_site_occupancy
Rb1 Rb 0.0000 0.0000 0.0000 1
Tm1 Tm 0.0000 0.0000 0.1684 1
Te1 Te 0.0000 0.0000 0.5670 1
Te2 Te 0.0000 0.0000 0.7695 1
```

## Properties
magnetic moment: 0.00 Bohr magnetons per cell
energy: -4.278 eV/atom
uncorrected formation energy: -1347 meV/atom



# KNaPS2

Crystalline KNaPS2 at its relaxed geometry (GGA-PBE, Alexandria).

Geometry as CIF:
```
data_KNaPS2
_chemical_formula_sum 'K1 Na1 P1 S2'
_space_group_name_H-M_alt 'P 4/m m m'
_space_group_IT_number 123
_space_group_name_Hall '-P 4 2'
_cell_length_a 5.8140
_cell_length_b 5.8140
_cell_length_c 6.0408
_cell_angle_alpha 90.00
_cell_angle_beta 90.00
_cell_angle_gamma 90.00
loop_
_atom_site_label
_atom_site_type_symbol
_atom_site_fract_x
_atom_site_fract_y
_atom_site_fract_z
_atom_site_occupancy
K1 K 0.0000 0.0000 0.0000 1
Na1 Na 0.5000 0.5000 0.5000 1
P1 P 0.0000 0.0000 0.5000 1
S1 S 0.0000 0.5000 0.0000 1
```

## Properties
magnetic moment: 5.04 Bohr magnetons per cell
energy: -2.408 eV/atom
DOS(E_F): 4.8 states/eV/cell
uncorrected formation energy: 808 meV/atom



# AcLaGaGe

Crystalline AcLaGaGe at its relaxed geometry (GGA-PBE, Alexandria).

Geometry as CIF:
```
data_AcLaGaGe
_chemical_formula_sum 'Ac4 La4 Ga4 Ge4'
_space_group_name_H-M_alt 'F -4 3 m'
_space_group_IT_number 216
_space_group_name_Hall 'F -4 2 3'
_cell_length_a 7.6777
_cell_length_b 7.6777
_cell_length_c 7.6777
_cell_angle_alpha 90.00
_cell_angle_beta 90.00
_cell_angle_gamma 90.00
loop_
_atom_site_label
_atom_site_type_symbol
_atom_site_fract_x
_atom_site_fract_y
_atom_site_fract_z
_atom_site_occupancy
Ac1 Ac 0.0000 0.0000 0.0000 1
La1 La 0.0000 0.0000 0.5000 1
Ga1 Ga 0.2500 0.2500 0.7500 1
Ge1 Ge 0.2500 0.2500 0.2500 1
```

## Properties
magnetic moment: 0.00 Bohr magnetons per cell
DFT formation energy: -540.3 meV/atom
energy: -4.710 eV/atom
DOS(E_F): 7.3 states/eV/cell



# TcRu2Se

Crystalline TcRu2Se at its relaxed geometry (GGA-PBE, Alexandria).

Geometry as CIF:
```
data_TcRu2Se
_chemical_formula_sum 'Tc2 Ru4 Se2'
_space_group_name_H-M_alt 'I m m m'
_space_group_IT_number 71
_space_group_name_Hall '-I 2 2'
_cell_length_a 2.9486
_cell_length_b 4.4034
_cell_length_c 8.9143
_cell_angle_alpha 90.00
_cell_angle_beta 90.00
_cell_angle_gamma 90.00
loop_
_atom_site_label
_atom_site_type_symbol
_atom_site_fract_x
_atom_site_fract_y
_atom_site_fract_z
_atom_site_occupancy
Tc1 Tc 0.0000 0.0000 0.0000 1
Ru1 Ru 0.0000 0.5000 0.2257 1
Se1 Se 0.0000 0.0000 0.5000 1
```

## Properties
magnetic moment: 0.00 Bohr magnetons per cell
energy: -7.863 eV/atom
DOS(E_F): 7.0 states/eV/cell
uncorrected formation energy: 238 meV/atom



Question: What is the formula in the third record?
Answer: TiZnCu2



Please write out number 8 again, unchanged.
# TcRu2Se

Crystalline TcRu2Se at its relaxed geometry (GGA-PBE, Alexandria).

Geometry as CIF:
```
data_TcRu2Se
_chemical_formula_sum 'Tc2 Ru4 Se2'
_space_group_name_H-M_alt 'I m m m'
_space_group_IT_number 71
_space_group_name_Hall '-I 2 2'
_cell_length_a 2.9486
_cell_length_b 4.4034
_cell_length_c 8.9143
_cell_angle_alpha 90.00
_cell_angle_beta 90.00
_cell_angle_gamma 90.00
loop_
_atom_site_label
_atom_site_type_symbol
_atom_site_fract_x
_atom_site_fract_y
_atom_site_fract_z
_atom_site_occupancy
Tc1 Tc 0.0000 0.0000 0.0000 1
Ru1 Ru 0.0000 0.5000 0.2257 1
Se1 Se 0.0000 0.0000 0.5000 1
```

## Properties
magnetic moment: 0.00 Bohr magnetons per cell
energy: -7.863 eV/atom
DOS(E_F): 7.0 states/eV/cell
uncorrected formation energy: 238 meV/atom



Question: Which formula does entry 4 have?
Answer: RbHfPtSe2